Entry 1:
# GeB (PBE-GGA, optimized geometry)
# Calculated formation energy ... 393 meV/atom
# Total magnetic moment ... 0.0000 μB per atom
data_GeB
_chemical_formula_sum 'Ge2 B2'
_space_group_name_H-M_alt 'P 1'
_space_group_IT_number 1
_cell_length_a 3.0695
_cell_length_b 3.0695
_cell_length_c 7.0526
_cell_angle_alpha 90.00
_cell_angle_beta 90.00
_cell_angle_gamma 120.00
loop_
_space_group_symop_operation_xyz
'x,y,z'
loop_
_atom_site_label
_atom_site_type_symbol
_atom_site_fract_x
_atom_site_fract_y
_atom_site_fract_z
B1 B 0.3333 0.6667 0.5319
Ge1 Ge 0.6667 0.3333 0.7633
B2 B 0.6667 0.3333 0.4681
Ge2 Ge 0.3333 0.6667 0.2367

=====

Entry 2:
# Th4Zn2Sn (PBE-GGA, optimized geometry)
# Calculated formation energy ... -11 meV/atom
# Total magnetic moment ... 0.0000 μB per atom
data_Th4Zn2Sn
_chemical_formula_sum 'Th4 Zn2 Sn1'
_space_group_name_H-M_alt 'P 1'
_space_group_IT_number 1
_cell_length_a 4.7570
_cell_length_b 4.7570
_cell_length_c 10.9449
_cell_angle_alpha 77.45
_cell_angle_beta 77.45
_cell_angle_gamma 60.00
loop_
_space_group_symop_operation_xyz
'x,y,z'
loop_
_atom_site_label
_atom_site_type_symbol
_atom_site_fract_x
_atom_site_fract_y
_atom_site_fract_z
Th1 Th 0.3037 0.3037 0.0889
Th2 Th 0.8865 0.8865 0.3405
Zn1 Zn 0.4039 0.4039 0.7884
Th3 Th 0.1135 0.1135 0.6595
Sn1 Sn 0.5000 0.5000 0.5000
Zn2 Zn 0.5961 0.5961 0.2116
Th4 Th 0.6963 0.6963 0.9111

=====

Entry 3:
# Tl2Cu2SnCl7 (PBE-GGA, optimized geometry)
# ΔE_f (raw) ... -8.68 eV/f.u.
# Total magnetic moment ... 0.0002 μB per atom
data_Tl2Cu2SnCl7
_chemical_formula_sum 'Tl2 Cu2 Sn1 Cl7'
_space_group_name_H-M_alt 'P 1'
_space_group_IT_number 1
_cell_length_a 4.8865
_cell_length_b 4.8865
_cell_length_c 13.0013
_cell_angle_alpha 79.21
_cell_angle_beta 79.21
_cell_angle_gamma 90.00
loop_
_space_group_symop_operation_xyz
'x,y,z'
loop_
_atom_site_label
_atom_site_type_symbol
_atom_site_fract_x
_atom_site_fract_y
_atom_site_fract_z
Cl1 Cl 0.6905 0.6905 0.6163
Sn1 Sn 0.0000 0.0000 0.0000
Tl1 Tl 0.1808 0.1808 0.6363
Cu1 Cu 0.4036 0.4036 0.1923
Cl2 Cl 0.0844 0.5841 0.8309
Tl2 Tl 0.8192 0.8192 0.3637
Cl3 Cl 0.9156 0.4159 0.1691
Cl4 Cl 0.5000 0.5000 0.0000
Cl5 Cl 0.4159 0.9156 0.1691
Cu2 Cu 0.5964 0.5964 0.8077
Cl6 Cl 0.3095 0.3095 0.3837
Cl7 Cl 0.5841 0.0844 0.8309

=====

Entry 4:
# Mg2InRu (PBE-GGA, optimized geometry)
# Calculated formation energy ... -26 meV/atom
# Total magnetic moment ... 0.0000 μB per atom
data_Mg2InRu
_chemical_formula_sum 'Mg2 In1 Ru1'
_space_group_name_H-M_alt 'P 1'
_space_group_IT_number 1
_cell_length_a 4.6605
_cell_length_b 4.6605
_cell_length_c 4.6605
_cell_angle_alpha 60.00
_cell_angle_beta 60.00
_cell_angle_gamma 60.00
loop_
_space_group_symop_operation_xyz
'x,y,z'
loop_
_atom_site_label
_atom_site_type_symbol
_atom_site_fract_x
_atom_site_fract_y
_atom_site_fract_z
Mg1 Mg 0.2500 0.2500 0.2500
Ru1 Ru 0.7500 0.7500 0.7500
In1 In 0.5000 0.5000 0.5000
Mg2 Mg 0.0000 0.0000 0.0000

=====

Entry 5:
# BeRhAu4 (PBE-GGA, optimized geometry)
# Calculated formation energy ... 555 meV/atom
# Total magnetic moment ... 0.0002 μB per atom
data_BeRhAu4
_chemical_formula_sum 'Be1 Rh1 Au4'
_space_group_name_H-M_alt 'P 1'
_space_group_IT_number 1
_cell_length_a 5.3751
_cell_length_b 5.3751
_cell_length_c 5.3751
_cell_angle_alpha 60.00
_cell_angle_beta 60.00
_cell_angle_gamma 60.00
loop_
_space_group_symop_operation_xyz
'x,y,z'
loop_
_atom_site_label
_atom_site_type_symbol
_atom_site_fract_x
_atom_site_fract_y
_atom_site_fract_z
Be1 Be 0.7500 0.7500 0.7500
Au1 Au 0.8748 0.3751 0.3751
Au2 Au 0.3751 0.3751 0.3751
Au3 Au 0.3751 0.3751 0.8748
Au4 Au 0.3751 0.8748 0.3751
Rh1 Rh 0.0000 0.0000 0.0000

=====

Entry 6:
# HoAlZnAg (PBE-GGA, optimized geometry)
# Calculated formation energy ... -321 meV/atom
# Total magnetic moment ... 0.0000 μB per atom
data_HoAlZnAg
_chemical_formula_sum 'Ho1 Al1 Zn1 Ag1'
_space_group_name_H-M_alt 'P 1'
_space_group_IT_number 1
_cell_length_a 4.7529
_cell_length_b 4.7529
_cell_length_c 4.7529
_cell_angle_alpha 60.00
_cell_angle_beta 60.00
_cell_angle_gamma 60.00
loop_
_space_group_symop_operation_xyz
'x,y,z'
loop_
_atom_site_label
_atom_site_type_symbol
_atom_site_fract_x
_atom_site_fract_y
_atom_site_fract_z
Ag1 Ag 0.2500 0.2500 0.2500
Zn1 Zn 0.7500 0.7500 0.7500
Ho1 Ho 0.5000 0.5000 0.5000
Al1 Al 0.0000 0.0000 0.0000